The following is a DFT calculation (GGA-PBE) of a relaxed structure of PmLuAg2.

Results
- Calculated density: 9.21 Mg/m³
- ΔH_f (0 K): -0.310 eV/atom
- Energy: -0.149 hartree per atom
- Energy relative to the lowest polymorph listed for this composition: 0.0000 eV per atom

Cell lengths 3.589, 3.589, 7.503 Å; angles 90.00, 90.00, 90.00 degrees
Space group P4/mmm (No. 123)
Asymmetric unit:
Pm1 0.000 0.000 0.000 (multiplicity 1)
Lu1 0.000 0.000 0.500 (multiplicity 1)
Ag1 0.500 0.500 0.274 (multiplicity 2)

The following is a DFT calculation (GGA-PBE) of a relaxed structure of SrTlPt5.

Results
- Calculated density: 15.26 Mg/m³
- ΔH_f (0 K): -0.383 eV/atom
- Energy: -0.194 hartree per atom

Cell lengths 8.825, 5.597, 11.167 Å; angles 90.00, 90.00, 90.00 degrees
Space group Pnma (No. 62)
Asymmetric unit:
Sr1 0.250 0.250 0.059 (multiplicity 4)
Tl1 0.124 0.250 0.359 (multiplicity 4)
Pt1 0.076 0.503 0.816 (multiplicity 8)
Pt2 0.081 0.250 0.603 (multiplicity 4)
Pt3 0.109 0.750 0.023 (multiplicity 4)
Pt4 0.172 0.750 0.263 (multiplicity 4)